{
  "formula": "NiPtRh3",
  "functional": "PBE",
  "state": "optimized geometry",
  "m_tot_mub_per_atom": 0.1282,
  "total_energy_ev_per_cell": -67.83,
  "dos_at_fermi_per_ev_atom": 1.6297,
  "delta_e_f_ev_per_fu": -0.04,
  "lattice": [[6.895, -1.895, 0.000], [6.895, 1.895, 0.000], [-1.069, 0.000, 5.339]],
  "species": ["Ni", "Ni", "Pt", "Pt", "Rh", "Rh", "Rh", "Rh", "Rh", "Rh"],
  "fractional_positions": [[0.000, 0.000, 0.245], [0.000, 0.000, 0.755], [0.402, 0.402, 0.451], [0.598, 0.598, 0.549], [0.199, 0.199, 0.347], [0.200, 0.200, 0.853], [0.404, 0.404, 0.952], [0.596, 0.596, 0.048], [0.800, 0.800, 0.147], [0.801, 0.801, 0.653]]
}